Material: Ac2Cd3Pb
Method: DFT, PBE-GGA
State: relaxed

Summary:
ρ = 8.90 g/cm³
Space-group type = No. 69
Formation energy from the elements = -384 meV per atom
E_tot = -2.83 eV per atom

POSCAR file:
```
Ac2Cd3Pb
1.0
0.274 -6.329 1.695
6.303 1.630 -0.794
-2.807 4.669 8.130
Pb Ac Cd
2 4 6
direct
0.666 0.666 0.332 Pb
0.334 0.334 0.668 Pb
0.250 0.750 0.500 Ac
0.753 0.753 0.000 Ac
0.247 0.247 0.000 Ac
0.750 0.250 0.500 Ac
0.837 0.837 0.674 Cd
0.165 0.673 0.838 Cd
0.835 0.327 0.162 Cd
0.163 0.163 0.326 Cd
0.673 0.165 0.838 Cd
0.327 0.835 0.162 Cd
```

---

Material: LuHfIrAu
Method: DFT, PBE-GGA
State: relaxed

Summary:
ρ = 15.86 g/cm³
Space-group type = No. 216
Formation energy from the elements = -749 meV per atom
E_tot = -7.40 eV per atom

POSCAR file:
```
LuHfIrAu
1.0
4.791 0.000 0.000
2.395 4.149 0.000
2.395 1.383 3.911
Lu Au Hf Ir
1 1 1 1
direct
0.250 0.250 0.250 Lu
0.000 0.000 0.000 Au
0.750 0.750 0.750 Hf
0.500 0.500 0.500 Ir
```

---

Material: Tb3Dy4Er2
Method: DFT, PBE-GGA
State: relaxed

Summary:
ρ = 8.66 g/cm³
Space-group type = No. 2
Formation energy from the elements = 17 meV per atom
E_tot = -4.59 eV per atom

POSCAR file:
```
Tb3Dy4Er2
1.0
-0.675 3.361 -5.060
-3.168 -5.199 0.660
-0.257 8.568 9.396
Er Dy Tb
2 4 3
direct
0.222 0.444 0.666 Er
0.778 0.556 0.334 Er
0.889 0.778 0.667 Dy
0.666 0.333 0.000 Dy
0.334 0.667 0.000 Dy
0.111 0.222 0.333 Dy
0.445 0.890 0.334 Tb
0.000 0.000 0.000 Tb
0.555 0.110 0.666 Tb
```

---

Material: CaPaPd2S4
Method: DFT, PBE-GGA
State: relaxed

Summary:
ρ = 6.32 g/cm³
Space-group type = No. 23
Energy relative to the elements, uncorrected = -1085 meV per atom
E_tot = -5.88 eV per atom

POSCAR file:
```
CaPaPd2S4
1.0
6.623 0.000 0.000
3.312 4.933 -0.033
3.312 0.371 4.919
S Pd Ca Pa
4 2 1 1
direct
0.959 0.500 0.038 S
0.041 0.962 0.500 S
0.497 0.500 0.962 S
0.503 0.038 0.500 S
0.796 0.704 0.704 Pd
0.204 0.296 0.296 Pd
0.000 0.000 0.000 Ca
0.500 0.500 0.500 Pa
```

---

Material: Ce2AsP3Ir4
Method: DFT, PBE-GGA
State: relaxed

Summary:
ρ = 11.83 g/cm³
Space-group type = No. 115
Formation energy from the elements = -936 meV per atom
E_tot = -7.76 eV per atom

POSCAR file:
```
Ce2AsP3Ir4
1.0
4.179 0.000 0.000
0.000 4.179 0.000
0.000 0.000 9.779
Ir P Ce As
4 3 2 1
direct
0.500 0.500 0.000 Ir
0.000 0.500 0.375 Ir
0.500 0.000 0.625 Ir
0.000 0.000 0.000 Ir
0.000 0.000 0.500 P
0.500 0.000 0.863 P
0.000 0.500 0.137 P
0.000 0.500 0.747 Ce
0.500 0.000 0.253 Ce
0.500 0.500 0.500 As
```

---

Material: Ho8Th2Sc3
Method: DFT, PBE-GGA
State: relaxed

Summary:
ρ = 7.92 g/cm³
Space-group type = No. 65
Formation energy from the elements = 274 meV per atom
E_tot = -5.15 eV per atom

POSCAR file:
```
Ho8Th2Sc3
1.0
5.462 0.000 0.779
0.000 7.272 0.000
-1.415 -3.636 9.918
Th Ho Sc
2 8 3
direct
0.500 0.245 0.489 Th
0.500 0.755 0.511 Th
0.500 0.182 0.796 Ho
0.000 0.133 0.266 Ho
0.000 0.867 0.734 Ho
0.500 0.818 0.204 Ho
0.000 0.338 0.676 Ho
0.500 0.614 0.796 Ho
0.000 0.662 0.324 Ho
0.500 0.386 0.204 Ho
0.500 0.000 0.000 Sc
0.000 0.276 0.000 Sc
0.000 0.724 0.000 Sc
```

---

Material: CsTl3B
Method: DFT, PBE-GGA
State: relaxed

Summary:
ρ = 7.78 g/cm³
Space-group type = No. 221
Formation energy from the elements = 606 meV per atom
E_tot = -2.32 eV per atom

POSCAR file:
```
CsTl3B
1.0
5.446 0.000 0.000
0.000 5.446 0.000
0.000 0.000 5.446
Tl Cs B
3 1 1
direct
0.000 0.000 0.500 Tl
0.500 0.000 0.000 Tl
0.000 0.500 0.000 Tl
0.500 0.500 0.500 Cs
0.000 0.000 0.000 B
```

---

Material: Na2NpOsO6
Method: DFT, PBE-GGA
State: relaxed

Summary:
ρ = 7.07 g/cm³
Space-group type = No. 123
Energy relative to the elements, uncorrected = -1895 meV per atom
E_tot = -7.55 eV per atom

POSCAR file:
```
Na2NpOsO6
1.0
-1.986 1.444 -3.210
-0.035 -5.254 -2.341
-5.010 -1.123 2.594
Np Os O Na
1 1 6 2
direct
0.645 0.000 0.000 Np
0.645 0.500 0.500 Os
0.645 0.256 0.256 O
0.145 0.500 0.500 O
0.645 0.744 0.744 O
0.145 0.000 0.000 O
0.645 0.256 0.744 O
0.645 0.744 0.256 O
0.144 0.000 0.500 Na
0.144 0.500 0.000 Na
```

---

Among the records above, which one has the lowest E_tot?
Ce2AsP3Ir4

---

Number 1 is which compound?
Ac2Cd3Pb

---

Which formula does entry 2 have?
LuHfIrAu